[1]
PBE Cs4Pr3TaSe8, optimized geometry; raw total energy = -5.0115 eV per atom
1.0
-5.296 3.805 -5.590
-4.991 -8.336 -0.945
0.747 3.076 7.985
Cs Pr Se Ta
4 3 8 1
direct
0.000 0.000 0.500 Cs
0.500 0.000 0.500 Cs
0.500 0.000 0.000 Cs
0.000 0.000 0.000 Cs
0.000 0.500 0.500 Pr
0.500 0.500 0.500 Pr
0.500 0.500 0.000 Pr
0.268 0.303 0.535 Se
0.214 0.684 0.428 Se
0.757 0.684 0.971 Se
0.786 0.316 0.029 Se
0.786 0.316 0.572 Se
0.732 0.697 0.465 Se
0.214 0.684 0.971 Se
0.243 0.316 0.029 Se
0.000 0.500 0.000 Ta

=====

[2]
PBE Rb3Ac3YSe8, optimized geometry; raw total energy = -4.9972 eV per atom
1.0
9.046 0.000 0.000
-4.523 7.841 -0.032
0.000 -5.199 8.138
Se Rb Ac Y
8 3 3 1
direct
0.264 0.527 0.291 Se
0.736 0.473 0.709 Se
0.752 0.973 0.694 Se
0.221 0.443 0.694 Se
0.248 0.027 0.306 Se
0.779 0.557 0.306 Se
0.221 0.973 0.694 Se
0.779 0.027 0.306 Se
0.500 0.500 0.000 Rb
0.000 0.500 0.000 Rb
0.000 0.000 0.000 Rb
0.500 0.500 0.500 Ac
0.500 0.000 0.500 Ac
0.000 0.500 0.500 Ac
0.000 0.000 0.500 Y

=====

[3]
PBE NiHS2, optimized geometry; raw total energy = -4.4771 eV per atom; offset from the most stable computed form = 38.0 meV per atom
1.0
-1.980 2.883 4.751
1.436 2.988 4.879
-0.267 5.156 2.854
Ni S H
1 2 1
direct
0.500 0.500 0.500 Ni
0.903 0.903 0.903 S
0.097 0.097 0.097 S
0.000 0.000 0.000 H

=====

[4]
PBE Ca2IN2, optimized geometry; raw total energy = -4.6695 eV per atom; offset from the most stable computed form = 697.3 meV per atom
1.0
-2.784 2.554 0.338
-1.267 -0.925 -3.454
-6.369 -4.314 1.409
N I Ca
2 1 2
direct
0.250 0.750 0.500 N
0.750 0.250 0.500 N
0.000 0.000 0.000 I
0.346 0.346 0.308 Ca
0.654 0.654 0.692 Ca